La2YIr2I2 | PBE | optimized geometry

Unit cell a=5.2066 b=5.2066 c=16.7674 alpha=90.00 beta=90.00 gamma=90.00
Last column: nearest neighbours and their distance in Å.
Space group I4/mmm (No. 139)
One atom of each set of equivalent atoms:
La (0.0000, 0.0000, 0.1031) (multiplicity 4)  4 Ir 3.12, 1 I 3.44, 1 La 3.46
Y (0.0000, 0.0000, 0.5000) (multiplicity 2)  4 Ir 2.60
Ir (0.0000, 0.5000, 0.0000) (multiplicity 4)  2 Y 2.60
I (0.0000, 0.0000, 0.3085) (multiplicity 4)  1 Y 3.21, 1 La 3.44

Properties
Energy relative to the elements, uncorrected in eV/f.u.: -5.2
Raw total energy in eV per atom: -6.05
D(E_F) in states/eV/cell: 7.00